! Ca2AgHgCl (GGA-PBE, optimized geometry); values from VASP
&SYSTEM
  ibrav = 0, nat = 5, ntyp = 4
/
ATOMIC_SPECIES
Ca 40.08 Ca.upf
Cl 35.45 Cl.upf
Hg 200.59 Hg.upf
Ag 107.87 Ag.upf
ATOMIC_POSITIONS crystal
Ca 0.500 0.000 0.000
Ca 0.000 0.000 0.500
Cl 0.000 0.500 0.000
Hg 0.500 0.500 0.500
Ag 0.000 0.000 0.000
CELL_PARAMETERS angstrom
-5.469 1.779 -0.094
0.030 -0.191 -5.380
-1.781 -5.466 0.184
! Space group = P4/mmm (123)
! Final energy = -9.914 eV per cell